[1]
DFT (GGA-PBE) results for crystalline TbIn6Cu6 at its relaxed geometry.

Cell: 7.0897 7.0897 7.0897 Å, 134.46 98.82 98.40°
With the nearest neighbours (Å) after each atom.
Atoms (fractional coordinates):
Tb 0.0000 0.0000 0.0000  8 In 3.11-3.22
In 0.1827 0.6827 0.5000  6 Cu 2.76
In 0.3375 0.0000 0.3375  6 Cu 2.81-2.90, 1 In 3.00, 1 Tb 3.11
In 0.3420 0.3420 0.0000  6 Cu 2.82-2.84, 3 In 2.93-3.12
In 0.6580 0.6580 0.0000  6 Cu 2.82-2.84, 3 In 2.93-3.12
In 0.6625 0.0000 0.6625  6 Cu 2.81-2.90, 1 In 3.00, 1 Tb 3.11
In 0.8173 0.3173 0.5000  6 Cu 2.76
Cu 0.0000 0.0000 0.5000  4 Cu 2.69-2.74, 6 In 2.76-2.82
Cu 0.0000 0.5000 0.0000  4 Cu 2.69-2.74, 6 In 2.76-2.82
Cu 0.2363 0.5000 0.7363  4 Cu 2.69, 6 In 2.76-2.90
Cu 0.5000 0.0000 0.0000  4 Cu 2.69-2.74, 6 In 2.76-2.82
Cu 0.5000 0.5000 0.5000  4 Cu 2.69-2.74, 6 In 2.76-2.82
Cu 0.7637 0.5000 0.2637  4 Cu 2.69, 6 In 2.76-2.90

Summary:
Fermi-level density of states	0.248	states/eV per atom
density	8.70	g/cm³
space group	Immm
final energy	-47.4	eV per cell

[2]
DFT (GGA-PBE) results for crystalline Tb6In2Cu at its relaxed geometry.

Cell: 8.7470 8.7470 8.7470 Å, 146.12 130.84 61.04°
With the nearest neighbours (Å) after each atom.
Atoms (fractional coordinates):
Tb 0.0830 0.3421 0.7409  1 Cu 2.96, 3 In 3.17
Tb 0.2298 0.0000 0.2298  2 Cu 3.05, 2 In 3.19, 1 Tb 3.34
Tb 0.3988 0.6579 0.7409  1 Cu 2.96, 3 In 3.17
Tb 0.6012 0.3421 0.2591  1 Cu 2.96, 3 In 3.17
Tb 0.7702 0.0000 0.7702  2 Cu 3.05, 2 In 3.19, 1 Tb 3.34
Tb 0.9170 0.6579 0.2591  1 Cu 2.96, 3 In 3.17
In 0.3334 0.8334 0.5000  8 Tb 3.17-3.19
In 0.6666 0.1666 0.5000  8 Tb 3.17-3.19
Cu 0.0000 0.5000 0.5000  8 Tb 2.96-3.05

Summary:
Fermi-level density of states	1.195	states/eV per atom
density	7.41	g/cm³
space group	Immm
final energy	-37.6	eV per cell

[3]
DFT (GGA-PBE) results for crystalline Tb4In3Cu at its relaxed geometry.

Cell: 3.5418 3.5418 16.2521 Å, 90.00 90.00 90.00°
With the nearest neighbours (Å) after each atom.
Atoms (fractional coordinates):
Tb 0.0000 0.0000 0.1055  4 Cu 3.04, 4 In 3.29
Tb 0.0000 0.0000 0.3686  8 In 3.29-3.30, 4 Tb 3.54
Tb 0.0000 0.0000 0.6314  8 In 3.29-3.30, 4 Tb 3.54
Tb 0.0000 0.0000 0.8945  4 Cu 3.04, 4 In 3.29
In 0.5000 0.5000 0.2365  8 Tb 3.29-3.30, 4 In 3.54
In 0.5000 0.5000 0.5000  8 Tb 3.29, 4 In 3.54
In 0.5000 0.5000 0.7635  8 Tb 3.29-3.30, 4 In 3.54
Cu 0.5000 0.5000 0.0000  8 Tb 3.04

Summary:
Fermi-level density of states	0.593	states/eV per atom
density	8.50	g/cm³
space group	P4/mmm
final energy	-34.2	eV per cell

[4]
DFT (GGA-PBE) results for crystalline Tb2InCuTe4 at its relaxed geometry.

Cell: 7.7999 7.7999 15.3046 Å, 90.00 90.00 147.66°
With the nearest neighbours (Å) after each atom.
Atoms (fractional coordinates):
Tb 0.1349 0.8651 0.5669  6 Te 3.04-3.14
Tb 0.1349 0.8651 0.9331  6 Te 3.04-3.14
Tb 0.8651 0.1349 0.0669  6 Te 3.04-3.14
Tb 0.8651 0.1349 0.4331  6 Te 3.04-3.14
In 0.3844 0.6156 0.7500  6 Te 3.36-3.43
In 0.6156 0.3844 0.2500  6 Te 3.36-3.43
Cu 0.3433 0.6567 0.2500  4 Te 2.65-2.66
Cu 0.6567 0.3433 0.7500  4 Te 2.65-2.66
Te 0.0559 0.9441 0.7500  2 Cu 2.65
Te 0.2292 0.7708 0.1167  1 Cu 2.66
Te 0.2292 0.7708 0.3833  1 Cu 2.66
Te 0.5000 0.5000 0.0000  4 Tb 3.14
Te 0.5000 0.5000 0.5000  4 Tb 3.14
Te 0.7708 0.2292 0.6167  1 Cu 2.66
Te 0.7708 0.2292 0.8833  1 Cu 2.66
Te 0.9441 0.0559 0.2500  2 Cu 2.65

Summary:
uncorrected formation energy	-0.932	eV/atom
density	6.71	g/cm³
space group	Cmcm
final energy	-72.2	eV per cell

[5]
DFT (GGA-PBE) results for crystalline TbThInCu at its relaxed geometry.

Cell: 7.4326 7.4326 7.4326 Å, 90.00 90.00 90.00°
With the nearest neighbours (Å) after each atom.
Atoms (fractional coordinates):
Tb 0.0000 0.0000 0.0000  4 In 3.22, 4 Cu 3.22
Tb 0.0000 0.5000 0.5000  4 In 3.22, 4 Cu 3.22
Tb 0.5000 0.0000 0.5000  4 In 3.22, 4 Cu 3.22
Tb 0.5000 0.5000 0.0000  4 In 3.22, 4 Cu 3.22
Th 0.0000 0.0000 0.5000  4 In 3.22, 4 Cu 3.22
Th 0.0000 0.5000 0.0000  4 In 3.22, 4 Cu 3.22
Th 0.5000 0.0000 0.0000  4 In 3.22, 4 Cu 3.22
Th 0.5000 0.5000 0.5000  4 In 3.22, 4 Cu 3.22
In 0.2500 0.2500 0.2500  4 Tb 3.22, 4 Th 3.22
In 0.2500 0.7500 0.7500  4 Tb 3.22, 4 Th 3.22
In 0.7500 0.2500 0.7500  4 Tb 3.22, 4 Th 3.22
In 0.7500 0.7500 0.2500  4 Tb 3.22, 4 Th 3.22
Cu 0.2500 0.2500 0.7500  4 Tb 3.22, 4 Th 3.22
Cu 0.2500 0.7500 0.2500  4 Tb 3.22, 4 Th 3.22
Cu 0.7500 0.2500 0.2500  4 Tb 3.22, 4 Th 3.22
Cu 0.7500 0.7500 0.7500  4 Tb 3.22, 4 Th 3.22

Summary:
Fermi-level density of states	1.427	states/eV per atom
density	9.21	g/cm³
space group	F-43m
final energy	-78.1	eV per cell

[6]
DFT (GGA-PBE) results for crystalline TbTlInCu at its relaxed geometry.

Cell: 7.1531 7.1531 7.1531 Å, 90.00 90.00 90.00°
With the nearest neighbours (Å) after each atom.
Atoms (fractional coordinates):
Tb 0.0000 0.0000 0.0000  4 Cu 3.10, 4 Tl 3.10
Tb 0.0000 0.5000 0.5000  4 Cu 3.10, 4 Tl 3.10
Tb 0.5000 0.0000 0.5000  4 Cu 3.10, 4 Tl 3.10
Tb 0.5000 0.5000 0.0000  4 Cu 3.10, 4 Tl 3.10
Tl 0.2500 0.2500 0.7500  4 Tb 3.10, 4 In 3.10
Tl 0.2500 0.7500 0.2500  4 Tb 3.10, 4 In 3.10
Tl 0.7500 0.2500 0.2500  4 Tb 3.10, 4 In 3.10
Tl 0.7500 0.7500 0.7500  4 In 3.10, 4 Tb 3.10
In 0.0000 0.0000 0.5000  4 Tl 3.10, 4 Cu 3.10
In 0.0000 0.5000 0.0000  4 Tl 3.10, 4 Cu 3.10
In 0.5000 0.0000 0.0000  4 Tl 3.10, 4 Cu 3.10
In 0.5000 0.5000 0.5000  4 Tl 3.10, 4 Cu 3.10
Cu 0.2500 0.2500 0.2500  4 Tb 3.10, 4 In 3.10
Cu 0.2500 0.7500 0.7500  4 Tb 3.10, 4 In 3.10
Cu 0.7500 0.2500 0.7500  4 Tb 3.10, 4 In 3.10
Cu 0.7500 0.7500 0.2500  4 Tb 3.10, 4 In 3.10

Summary:
Fermi-level density of states	0.327	states/eV per atom
density	9.83	g/cm³
space group	F-43m
final energy	-57.2	eV per cell

[7]
DFT (GGA-PBE) results for crystalline TbTmInCu at its relaxed geometry.

Cell: 7.2663 7.2663 7.2663 Å, 90.00 90.00 90.00°
With the nearest neighbours (Å) after each atom.
Atoms (fractional coordinates):
Tb 0.0000 0.0000 0.0000  4 In 3.15, 4 Cu 3.15
Tb 0.0000 0.5000 0.5000  4 In 3.15, 4 Cu 3.15
Tb 0.5000 0.0000 0.5000  4 In 3.15, 4 Cu 3.15
Tb 0.5000 0.5000 0.0000  4 In 3.15, 4 Cu 3.15
Tm 0.0000 0.0000 0.5000  4 Cu 3.15, 4 In 3.15
Tm 0.0000 0.5000 0.0000  4 Cu 3.15, 4 In 3.15
Tm 0.5000 0.0000 0.0000  4 Cu 3.15, 4 In 3.15
Tm 0.5000 0.5000 0.5000  4 Cu 3.15, 4 In 3.15
In 0.2500 0.2500 0.7500  4 Tb 3.15, 4 Tm 3.15
In 0.2500 0.7500 0.2500  4 Tb 3.15, 4 Tm 3.15
In 0.7500 0.2500 0.2500  4 Tb 3.15, 4 Tm 3.15
In 0.7500 0.7500 0.7500  4 Tb 3.15, 4 Tm 3.15
Cu 0.2500 0.2500 0.2500  4 Tb 3.15, 4 Tm 3.15
Cu 0.2500 0.7500 0.7500  4 Tb 3.15, 4 Tm 3.15
Cu 0.7500 0.2500 0.7500  4 Tb 3.15, 4 Tm 3.15
Cu 0.7500 0.7500 0.2500  4 Tb 3.15, 4 Tm 3.15

Summary:
Fermi-level density of states	0.800	states/eV per atom
density	8.76	g/cm³
space group	F-43m
final energy	-68.7	eV per cell

[8]
DFT (GGA-PBE) results for crystalline TbYInCu at its relaxed geometry.

Cell: 7.3230 7.3230 7.3230 Å, 90.00 90.00 90.00°
With the nearest neighbours (Å) after each atom.
Atoms (fractional coordinates):
Tb 0.0000 0.0000 0.0000  4 In 3.17, 4 Cu 3.17
Tb 0.0000 0.5000 0.5000  4 In 3.17, 4 Cu 3.17
Tb 0.5000 0.0000 0.5000  4 In 3.17, 4 Cu 3.17
Tb 0.5000 0.5000 0.0000  4 Cu 3.17, 4 In 3.17
Y 0.0000 0.0000 0.5000  4 In 3.17, 4 Cu 3.17
Y 0.0000 0.5000 0.0000  4 In 3.17, 4 Cu 3.17
Y 0.5000 0.0000 0.0000  4 In 3.17, 4 Cu 3.17
Y 0.5000 0.5000 0.5000  4 In 3.17, 4 Cu 3.17
In 0.2500 0.2500 0.7500  4 Tb 3.17, 4 Y 3.17
In 0.2500 0.7500 0.2500  4 Tb 3.17, 4 Y 3.17
In 0.7500 0.2500 0.2500  4 Tb 3.17, 4 Y 3.17
In 0.7500 0.7500 0.7500  4 Y 3.17, 4 Tb 3.17
Cu 0.2500 0.2500 0.2500  4 Tb 3.17, 4 Y 3.17
Cu 0.2500 0.7500 0.7500  4 Tb 3.17, 4 Y 3.17
Cu 0.7500 0.2500 0.7500  4 Tb 3.17, 4 Y 3.17
Cu 0.7500 0.7500 0.2500  4 Tb 3.17, 4 Y 3.17

Summary:
Fermi-level density of states	0.874	states/eV per atom
density	7.21	g/cm³
space group	F-43m
final energy	-76.8	eV per cell

[9]
DFT (GGA-PBE) results for crystalline In4CuTc at its relaxed geometry.

Cell: 5.6536 5.6536 5.6536 Å, 60.00 60.00 60.00°
With the nearest neighbours (Å) after each atom.
Atoms (fractional coordinates):
In 0.1250 0.1250 0.1250  6 In 2.83
In 0.1250 0.1250 0.6249  6 In 2.83
In 0.1250 0.6249 0.1250  6 In 2.83
In 0.6249 0.1250 0.1250  6 In 2.83
Cu 0.5000 0.5000 0.5000  12 In 3.31, 4 Tc 3.46
Tc 0.7500 0.7500 0.7500  12 In 3.31, 4 Cu 3.46

Summary:
Fermi-level density of states	0.107	states/eV per atom
density	8.07	g/cm³
space group	F-43m
final energy	-20.6	eV per cell

[10]
DFT (GGA-PBE) results for crystalline In3CuTc at its relaxed geometry.

Cell: 5.1842 5.1842 5.1842 Å, 90.00 90.00 90.00°
With the nearest neighbours (Å) after each atom.
Atoms (fractional coordinates):
In 0.0000 0.0000 0.5000  2 Tc 2.59
In 0.0000 0.5000 0.0000  2 Tc 2.59
In 0.5000 0.0000 0.0000  2 Tc 2.59
Cu 0.5000 0.5000 0.5000  12 In 3.67
Tc 0.0000 0.0000 0.0000  6 In 2.59

Summary:
Fermi-level density of states	0.907	states/eV per atom
density	6.03	g/cm³
space group	Pm-3m
polymorph energy (0 for the lowest one)	0.000	eV/atom
final energy	-19.2	eV per cell

[11]
DFT (GGA-PBE) results for crystalline InCuTc2W at its relaxed geometry.

Cell: 4.8850 4.8850 4.9683 Å, 90.00 90.00 90.00°
With the nearest neighbours (Å) after each atom.
Atoms (fractional coordinates):
In 0.0000 0.0000 0.0000  4 Tc 2.44, 2 W 2.48
Cu 0.5000 0.5000 0.5000  4 W 3.45, 8 Tc 3.48
Tc 0.0000 0.5000 0.0000  2 In 2.44
Tc 0.5000 0.0000 0.0000  2 In 2.44
W 0.0000 0.0000 0.5000  2 In 2.48

Summary:
Fermi-level density of states	1.076	states/eV per atom
density	7.82	g/cm³
space group	P4/mmm
final energy	-26.8	eV per cell

[12]
DFT (GGA-PBE) results for crystalline Zr3In3Cu2Tc at its relaxed geometry.

Cell: 7.7220 7.7220 3.4444 Å, 90.00 90.00 120.00°
With the nearest neighbours (Å) after each atom.
Atoms (fractional coordinates):
Zr 0.0000 0.7251 0.0000  2 Tc 2.73, 2 Cu 2.83
Zr 0.2749 0.2749 0.0000  2 Tc 2.73, 2 Cu 2.83
Zr 0.7251 0.0000 0.0000  2 Tc 2.73, 2 Cu 2.83
In 0.0000 0.3886 0.5000  4 Cu 2.95, 1 Tc 3.00, 6 Zr 3.12-3.18
In 0.3886 0.0000 0.5000  4 Cu 2.95, 1 Tc 3.00, 6 Zr 3.12-3.18
In 0.6114 0.6114 0.5000  4 Cu 2.95, 1 Tc 3.00, 6 Zr 3.12-3.18
Cu 0.3333 0.6667 0.0000  3 Zr 2.83, 6 In 2.95
Cu 0.6667 0.3333 0.0000  3 Zr 2.83, 6 In 2.95
Tc 0.0000 0.0000 0.5000  6 Zr 2.73, 3 In 3.00

Summary:
Fermi-level density of states	0.679	states/eV per atom
density	7.87	g/cm³
space group	P-62m
final energy	-54.3	eV per cell